(1)
! HgAsRu2 meta-GGA SCAN single point on PBEsol structure; values from VASP
&SYSTEM
  ibrav = 0, nat = 12, ntyp = 3
/
ATOMIC_SPECIES
Hg 200.59 Hg.upf
As 74.92 As.upf
Ru 101.07 Ru.upf
CELL_PARAMETERS angstrom
2.938 0.000 0.000
-1.469 2.545 0.000
0.000 0.000 24.764
ATOMIC_POSITIONS crystal
Hg 0.000 0.000 0.000
Hg 0.333 0.667 0.667
Hg 0.667 0.333 0.333
As 0.000 0.000 0.500
As 0.333 0.667 0.167
As 0.667 0.333 0.833
Ru 0.000 0.000 0.239
Ru 0.000 0.000 0.761
Ru 0.333 0.667 0.428
Ru 0.333 0.667 0.906
Ru 0.667 0.333 0.094
Ru 0.667 0.333 0.572
! volume	15.4	Å³ per atom
! formation enthalpy at 0 K	0.1513	eV per atom
! SG	No. 166

---

(2)
! HgAsRu2 meta-GGA SCAN single point on PBEsol structure; values from VASP
&SYSTEM
  ibrav = 0, nat = 4, ntyp = 3
/
ATOMIC_SPECIES
Hg 200.59 Hg.upf
As 74.92 As.upf
Ru 101.07 Ru.upf
CELL_PARAMETERS angstrom
2.989 0.000 0.000
0.000 2.989 0.000
0.000 0.000 6.768
ATOMIC_POSITIONS crystal
Hg 0.000 0.000 0.000
As 0.000 0.000 0.500
Ru 0.500 0.500 0.293
Ru 0.500 0.500 0.707
! volume	15.1	Å³ per atom
! formation enthalpy at 0 K	0.1315	eV per atom
! SG	No. 123

---

(3)
! Hg2AsRuW meta-GGA SCAN single point on PBEsol structure; values from VASP
&SYSTEM
  ibrav = 0, nat = 5, ntyp = 4
/
ATOMIC_SPECIES
Hg 200.59 Hg.upf
As 74.92 As.upf
Ru 101.07 Ru.upf
W 183.84 W.upf
CELL_PARAMETERS angstrom
5.199 0.000 0.000
0.000 5.199 0.000
0.000 0.000 4.544
ATOMIC_POSITIONS crystal
Hg 0.000 0.500 0.000
Hg 0.500 0.000 0.000
As 0.000 0.000 0.500
Ru 0.500 0.500 0.500
W 0.500 0.500 0.000
! volume	24.6	Å³ per atom
! formation enthalpy at 0 K	1.5950	eV per atom
! SG	No. 123

---

(4)
! HgAs2S meta-GGA SCAN single point on PBEsol structure; values from VASP
&SYSTEM
  ibrav = 0, nat = 16, ntyp = 3
/
ATOMIC_SPECIES
Hg 200.59 Hg.upf
As 74.92 As.upf
S 32.06 S.upf
CELL_PARAMETERS angstrom
6.697 0.000 0.000
0.000 6.697 0.000
0.000 0.000 6.697
ATOMIC_POSITIONS crystal
Hg 0.000 0.000 0.000
Hg 0.000 0.500 0.500
Hg 0.500 0.000 0.500
Hg 0.500 0.500 0.000
As 0.250 0.250 0.250
As 0.250 0.250 0.750
As 0.250 0.750 0.250
As 0.250 0.750 0.750
As 0.750 0.250 0.250
As 0.750 0.250 0.750
As 0.750 0.750 0.250
As 0.750 0.750 0.750
S 0.000 0.000 0.500
S 0.000 0.500 0.000
S 0.500 0.000 0.000
S 0.500 0.500 0.500
! volume	18.8	Å³ per atom
! uncorrected formation energy	0.6150	eV per atom
! SG	No. 225

---

(5)
! HgAsSe2S meta-GGA SCAN single point on PBEsol structure; values from VASP
&SYSTEM
  ibrav = 0, nat = 5, ntyp = 4
/
ATOMIC_SPECIES
Hg 200.59 Hg.upf
As 74.92 As.upf
Se 78.96 Se.upf
S 32.06 S.upf
CELL_PARAMETERS angstrom
4.956 0.000 0.000
0.000 4.956 0.000
0.000 0.000 5.078
ATOMIC_POSITIONS crystal
Hg 0.000 0.000 0.000
As 0.000 0.000 0.500
Se 0.000 0.500 0.500
Se 0.500 0.000 0.500
S 0.500 0.500 0.000
! volume	24.9	Å³ per atom
! uncorrected formation energy	0.7204	eV per atom
! SG	No. 123

---

(6)
! TlHgAs3S6 meta-GGA SCAN single point on PBEsol structure; values from VASP
&SYSTEM
  ibrav = 0, nat = 44, ntyp = 4
/
ATOMIC_SPECIES
Tl 204.38 Tl.upf
Hg 200.59 Hg.upf
As 74.92 As.upf
S 32.06 S.upf
CELL_PARAMETERS angstrom
5.902 0.000 0.000
0.000 11.195 0.000
-5.583 0.000 15.961
ATOMIC_POSITIONS crystal
Tl 0.187 0.116 0.312
Tl 0.187 0.384 0.812
Tl 0.813 0.616 0.188
Tl 0.813 0.884 0.688
Hg 0.458 0.605 0.403
Hg 0.458 0.895 0.903
Hg 0.542 0.105 0.097
Hg 0.542 0.395 0.597
As 0.004 0.655 0.915
As 0.004 0.845 0.415
As 0.044 0.633 0.565
As 0.044 0.867 0.065
As 0.459 0.131 0.752
As 0.459 0.369 0.252
As 0.541 0.631 0.748
As 0.541 0.869 0.248
As 0.956 0.133 0.935
As 0.956 0.367 0.435
As 0.996 0.155 0.585
As 0.996 0.345 0.085
S 0.009 0.153 0.117
S 0.009 0.347 0.617
S 0.124 0.665 0.057
S 0.124 0.835 0.557
S 0.130 0.639 0.711
S 0.130 0.861 0.211
S 0.347 0.143 0.948
S 0.347 0.357 0.448
S 0.380 0.566 0.255
S 0.380 0.934 0.755
S 0.411 0.129 0.613
S 0.411 0.371 0.113
S 0.589 0.629 0.887
S 0.589 0.871 0.387
S 0.620 0.066 0.245
S 0.620 0.434 0.745
S 0.653 0.643 0.552
S 0.653 0.857 0.052
S 0.870 0.139 0.789
S 0.870 0.361 0.289
S 0.876 0.165 0.443
S 0.876 0.335 0.943
S 0.991 0.653 0.383
S 0.991 0.847 0.883
! volume	24.0	Å³ per atom
! uncorrected formation energy	-0.2200	eV per atom
! SG	No. 14

---

(7)
! TlHgAsS3 meta-GGA SCAN single point on PBEsol structure; values from VASP
&SYSTEM
  ibrav = 0, nat = 24, ntyp = 4
/
ATOMIC_SPECIES
Tl 204.38 Tl.upf
Hg 200.59 Hg.upf
As 74.92 As.upf
S 32.06 S.upf
CELL_PARAMETERS angstrom
4.065 -4.519 0.000
4.065 4.519 0.000
0.000 0.000 15.865
ATOMIC_POSITIONS crystal
Tl 0.163 0.837 0.951
Tl 0.337 0.663 0.451
Tl 0.663 0.337 0.549
Tl 0.837 0.163 0.049
Hg 0.073 0.427 0.750
Hg 0.427 0.073 0.250
Hg 0.573 0.927 0.750
Hg 0.927 0.573 0.250
As 0.075 0.925 0.605
As 0.425 0.575 0.105
As 0.575 0.425 0.895
As 0.925 0.075 0.395
S 0.137 0.863 0.742
S 0.142 0.301 0.604
S 0.199 0.358 0.896
S 0.301 0.142 0.396
S 0.358 0.199 0.104
S 0.363 0.637 0.242
S 0.637 0.363 0.758
S 0.642 0.801 0.896
S 0.699 0.858 0.604
S 0.801 0.642 0.104
S 0.858 0.699 0.396
S 0.863 0.137 0.258
! volume	24.3	Å³ per atom
! uncorrected formation energy	-0.2599	eV per atom
! SG	No. 64

---

(8)
! TlHgAsS3 meta-GGA SCAN single point on PBEsol structure; values from VASP
&SYSTEM
  ibrav = 0, nat = 24, ntyp = 4
/
ATOMIC_SPECIES
Tl 204.38 Tl.upf
Hg 200.59 Hg.upf
As 74.92 As.upf
S 32.06 S.upf
CELL_PARAMETERS angstrom
-5.565 5.565 5.211
5.565 -5.565 5.211
5.565 5.565 -5.211
ATOMIC_POSITIONS crystal
Tl 0.152 0.152 0.000
Tl 0.250 0.750 0.500
Tl 0.750 0.250 0.500
Tl 0.848 0.848 0.000
Hg 0.224 0.500 0.724
Hg 0.500 0.224 0.724
Hg 0.500 0.776 0.276
Hg 0.776 0.500 0.276
As 0.023 0.520 0.000
As 0.480 0.480 0.503
As 0.520 0.023 0.000
As 0.977 0.977 0.497
S 0.028 0.595 0.795
S 0.200 0.405 0.433
S 0.222 0.222 0.748
S 0.233 0.800 0.205
S 0.405 0.200 0.433
S 0.474 0.474 0.252
S 0.526 0.778 0.000
S 0.595 0.028 0.795
S 0.767 0.972 0.567
S 0.778 0.526 0.000
S 0.800 0.233 0.205
S 0.972 0.767 0.567
! volume	26.9	Å³ per atom
! uncorrected formation energy	-0.1457	eV per atom
! SG	No. 121

---

(9)
! HgSbAs2 meta-GGA SCAN single point on PBEsol structure; values from VASP
&SYSTEM
  ibrav = 0, nat = 4, ntyp = 3
/
ATOMIC_SPECIES
Hg 200.59 Hg.upf
Sb 121.76 Sb.upf
As 74.92 As.upf
CELL_PARAMETERS angstrom
4.907 0.000 0.000
0.000 4.907 0.000
0.000 0.000 3.552
ATOMIC_POSITIONS crystal
Hg 0.000 0.000 0.000
Sb 0.500 0.500 0.000
As 0.000 0.500 0.500
As 0.500 0.000 0.500
! volume	21.4	Å³ per atom
! uncorrected formation energy	0.4468	eV per atom
! SG	No. 123

---

(10)
! HgSb2As2 meta-GGA SCAN single point on PBEsol structure; values from VASP
&SYSTEM
  ibrav = 0, nat = 10, ntyp = 3
/
ATOMIC_SPECIES
Hg 200.59 Hg.upf
Sb 121.76 Sb.upf
As 74.92 As.upf
CELL_PARAMETERS angstrom
4.934 0.000 0.000
0.000 4.934 0.000
0.000 0.000 11.670
ATOMIC_POSITIONS crystal
Hg 0.000 0.000 0.000
Hg 0.500 0.500 0.500
Sb 0.000 0.000 0.358
Sb 0.000 0.000 0.642
Sb 0.500 0.500 0.142
Sb 0.500 0.500 0.858
As 0.000 0.500 0.250
As 0.000 0.500 0.750
As 0.500 0.000 0.250
As 0.500 0.000 0.750
! volume	28.4	Å³ per atom
! uncorrected formation energy	0.2099	eV per atom
! SG	No. 139

---

(11)
! HgSbAs meta-GGA SCAN single point on PBEsol structure; values from VASP
&SYSTEM
  ibrav = 0, nat = 3, ntyp = 3
/
ATOMIC_SPECIES
Hg 200.59 Hg.upf
Sb 121.76 Sb.upf
As 74.92 As.upf
CELL_PARAMETERS angstrom
3.960 0.000 0.000
-1.980 3.429 0.000
0.000 0.000 5.498
ATOMIC_POSITIONS crystal
Hg 0.000 0.000 0.000
Sb 0.333 0.667 0.619
As 0.667 0.333 0.340
! volume	24.9	Å³ per atom
! uncorrected formation energy	0.0504	eV per atom
! SG	No. 156

---

(12)
! HgSbAs2 meta-GGA SCAN single point on PBEsol structure; values from VASP
&SYSTEM
  ibrav = 0, nat = 8, ntyp = 3
/
ATOMIC_SPECIES
Hg 200.59 Hg.upf
Sb 121.76 Sb.upf
As 74.92 As.upf
CELL_PARAMETERS angstrom
5.916 0.000 0.000
0.000 9.825 0.000
-0.933 0.000 2.962
ATOMIC_POSITIONS crystal
Hg 0.000 0.000 0.000
Hg 0.500 0.500 0.000
Sb 0.000 0.500 0.000
Sb 0.500 0.000 0.000
As 0.250 0.250 0.500
As 0.250 0.750 0.500
As 0.750 0.250 0.500
As 0.750 0.750 0.500
! volume	21.5	Å³ per atom
! uncorrected formation energy	0.4375	eV per atom
! SG	No. 12